1.
Material: Ca2MnPbBr8
Method: DFT, PBE
State: optimized geometry

Cell: 6.939 6.607 8.698 Å, 90.00 90.00 89.57°
Fractional coordinates of all 12 atoms:
Br 0.160 0.773 0.222
Br 0.323 0.257 0.000
Pb 0.000 0.000 0.500
Ca 0.500 0.500 0.761
Br 0.840 0.227 0.222
Mn 0.000 0.000 0.000
Ca 0.500 0.500 0.239
Br 0.651 0.725 0.500
Br 0.840 0.227 0.778
Br 0.349 0.275 0.500
Br 0.677 0.743 0.000
Br 0.160 0.773 0.778

Summary:
Its symmetry is P2/m. The value obtained for the density of states at the Fermi level is 0.00 states/eV per atom. As for the raw formation energy: -135.9 kJ/mol of atoms.

2.
Material: Dy5Ho2Er6
Method: DFT, PBE
State: optimized geometry

Cell: 3.534 11.498 20.034 Å, 90.00 90.00 90.00°
Fractional coordinates of all 26 atoms:
Ho 0.000 0.168 0.790
Er 0.000 0.418 0.869
Ho 0.000 0.832 0.210
Dy 0.500 0.412 0.727
Dy 0.500 0.500 0.000
Dy 0.500 0.588 0.273
Dy 0.500 0.912 0.773
Er 0.000 0.918 0.631
Dy 0.500 0.801 0.050
Ho 0.000 0.332 0.290
Dy 0.500 0.301 0.450
Er 0.000 0.582 0.131
Er 0.500 0.174 0.636
Er 0.500 0.326 0.136
Dy 0.500 0.199 0.950
Dy 0.500 0.088 0.227
Er 0.000 0.941 0.919
Er 0.500 0.826 0.364
Er 0.000 0.441 0.581
Er 0.500 0.674 0.864
Er 0.000 0.059 0.081
Dy 0.500 0.000 0.500
Er 0.000 0.559 0.419
Dy 0.500 0.699 0.550
Er 0.000 0.082 0.369
Ho 0.000 0.668 0.710

Summary:
Its symmetry is Pbam. For the formation energy from the elements, the calculation gives 1.29 eV/f.u. The value obtained for the density of states at the Fermi level is 1.21 states/eV per atom.

3.
Material: Cd2GaPt2
Method: DFT, PBE
State: optimized geometry

Cell: 8.161 8.161 2.894 Å, 90.00 90.00 90.00°
Fractional coordinates of all 10 atoms:
Cd 0.866 0.634 0.000
Pt 0.837 0.337 0.500
Pt 0.337 0.163 0.500
Pt 0.663 0.837 0.500
Cd 0.634 0.134 0.000
Cd 0.134 0.366 0.000
Cd 0.366 0.866 0.000
Pt 0.163 0.663 0.500
Ga 0.000 0.000 0.000
Ga 0.500 0.500 0.000

Summary:
Its symmetry is P4/mbm. Its offset from the most stable computed form is 311 meV per atom. For the formation energy from the elements, the calculation gives -0.61 eV/f.u. The value obtained for the density of states at the Fermi level is 0.35 states/eV per atom.

4.
Material: ErSc7Hg4
Method: DFT, PBE
State: optimized geometry

Cell: 5.313 8.479 7.435 Å, 70.05 69.06 71.74°
Fractional coordinates of all 12 atoms:
Er 0.000 0.000 0.000
Sc 0.263 0.688 0.785
Hg 0.551 0.274 0.623
Sc 0.068 0.587 0.277
Hg 0.313 0.337 0.037
Hg 0.449 0.726 0.377
Sc 0.790 0.884 0.537
Hg 0.687 0.663 0.963
Sc 0.500 0.000 0.000
Sc 0.932 0.413 0.723
Sc 0.737 0.312 0.215
Sc 0.210 0.116 0.463

Summary:
Its symmetry is C2/m. For the formation energy from the elements, the calculation gives -0.75 eV/f.u. The value obtained for the density of states at the Fermi level is 1.20 states/eV per atom.

5.
Material: Hg4Se2BrO
Method: DFT, PBE
State: optimized geometry

Cell: 6.263 6.263 7.395 Å, 115.04 115.04 90.03°
Fractional coordinates of all 8 atoms:
Se 0.250 0.750 0.500
Hg 0.824 0.426 0.249
Hg 0.176 0.176 0.751
Se 0.750 0.250 0.500
O 0.500 0.500 0.000
Br 0.000 0.000 0.000
Hg 0.575 0.575 0.751
Hg 0.426 0.824 0.249

Summary:
Its symmetry is I-42m. The value obtained for the density of states at the Fermi level is 0.41 states/eV per atom. As for the raw formation energy: -19.7 kJ/mol of atoms.

6.
Material: ScBeGe2O
Method: DFT, PBE
State: optimized geometry

Cell: 4.021 5.191 4.021 Å, 90.00 90.00 90.00°
Fractional coordinates of all 5 atoms:
Ge 0.500 0.000 0.000
O 0.500 0.500 0.500
Ge 0.000 0.000 0.500
Be 0.000 0.000 0.000
Sc 0.000 0.500 0.000

Summary:
Its symmetry is P4/mmm. The value obtained for the density of states at the Fermi level is 0.87 states/eV per atom. As for the raw formation energy: 8.9 kJ/mol of atoms.

7.
Material: Ag2AsPt
Method: DFT, PBE
State: optimized geometry

Cell: 9.432 9.432 9.432 Å, 17.98 17.98 17.98°
Fractional coordinates of all 4 atoms:
As 0.250 0.250 0.250
Pt 0.750 0.750 0.750
Ag 0.500 0.500 0.500
Ag 0.000 0.000 0.000

Summary:
Its symmetry is R-3m. For the formation energy from the elements, the calculation gives 0.54 eV/f.u. The value obtained for the density of states at the Fermi level is 0.51 states/eV per atom.

8.
Material: Zr3BiO
Method: DFT, PBE
State: optimized geometry

Cell: 5.457 5.457 5.457 Å, 90.00 90.00 90.00°
Fractional coordinates of all 5 atoms:
Zr 0.000 0.500 0.000
Bi 0.000 0.000 0.000
O 0.500 0.500 0.500
Zr 0.000 0.000 0.500
Zr 0.500 0.000 0.000

Summary:
Its symmetry is Pm-3m. Its offset from the most stable computed form is 2657 meV per atom. The value obtained for the density of states at the Fermi level is 1.28 states/eV per atom. As for the raw formation energy: 151.5 kJ/mol of atoms.

9.
Material: Ca12Ag5Se3
Method: DFT, PBE
State: optimized geometry

Cell: 15.242 15.242 15.242 Å, 109.47 109.47 109.47°
Fractional coordinates of all 80 atoms:
Ca 0.931 0.102 0.880
Se 0.250 0.625 0.875
Se 0.750 0.875 0.625
Ca 0.898 0.828 0.778
Ca 0.051 0.620 0.722
Ca 0.620 0.051 0.222
Ag 0.625 0.750 0.875
Ca 0.051 0.431 0.828
Ca 0.569 0.620 0.398
Ca 0.328 0.778 0.398
Ca 0.431 0.380 0.602
Se 0.250 0.125 0.375
Se 0.375 0.750 0.625
Ca 0.620 0.569 0.898
Ca 0.898 0.069 0.620
Ag 0.750 0.125 0.875
Ag 0.375 0.125 0.750
Ag 0.125 0.750 0.375
Ag 0.500 0.000 0.500
Ca 0.398 0.120 0.569
Ca 0.222 0.551 0.620
Ca 0.380 0.431 0.102
Ca 0.278 0.398 0.828
Ca 0.551 0.222 0.120
Ca 0.102 0.172 0.222
Ag 0.500 0.500 0.000
Ag 0.000 0.500 0.500
Ca 0.222 0.672 0.102
Ag 0.875 0.625 0.750
Ag 0.000 0.500 0.000
Se 0.375 0.625 0.250
Ag 0.625 0.875 0.250
Ca 0.602 0.880 0.431
Ca 0.069 0.172 0.449
Se 0.875 0.125 0.250
Ca 0.949 0.380 0.278
Ag 0.875 0.250 0.625
Ag 0.250 0.375 0.625
Ca 0.278 0.880 0.949
Ca 0.778 0.328 0.898
Ca 0.828 0.931 0.051
Ca 0.328 0.551 0.431
Ca 0.380 0.949 0.778
Ca 0.722 0.120 0.051
Ca 0.672 0.222 0.602
Se 0.125 0.875 0.750
Ca 0.828 0.898 0.278
Ca 0.722 0.602 0.172
Ca 0.431 0.051 0.328
Ca 0.931 0.828 0.551
Ca 0.778 0.449 0.380
Ag 0.000 0.000 0.000
Se 0.125 0.250 0.875
Se 0.750 0.375 0.125
Ag 0.500 0.500 0.500
Ca 0.120 0.722 0.551
Ca 0.551 0.328 0.931
Ag 0.000 0.000 0.500
Ca 0.949 0.569 0.172
Ca 0.172 0.102 0.722
Ca 0.449 0.778 0.880
Ca 0.880 0.602 0.931
Ca 0.449 0.672 0.069
Ag 0.750 0.625 0.375
Ca 0.398 0.278 0.328
Se 0.625 0.375 0.750
Ag 0.250 0.875 0.125
Ag 0.500 0.000 0.000
Ag 0.375 0.250 0.125
Ca 0.120 0.398 0.069
Ca 0.880 0.278 0.449
Ca 0.172 0.069 0.949
Se 0.875 0.750 0.125
Ca 0.102 0.931 0.380
Ca 0.069 0.898 0.120
Ca 0.672 0.449 0.569
Se 0.625 0.250 0.375
Ca 0.569 0.949 0.672
Ca 0.602 0.722 0.672
Ag 0.125 0.375 0.250

Summary:
Its symmetry is Ia-3d. The value obtained for the density of states at the Fermi level is 0.70 states/eV per atom. As for the raw formation energy: -35.2 kJ/mol of atoms.

10.
Material: CdBiH
Method: DFT, PBE
State: optimized geometry

Cell: 3.931 3.931 40.522 Å, 90.00 90.00 90.00°
Fractional coordinates of all 24 atoms:
H 0.480 0.995 0.741
Bi 0.515 0.984 0.069
Bi 0.016 0.485 0.181
Bi 0.485 0.984 0.931
H 0.520 0.005 0.241
H 0.480 0.005 0.759
Cd 0.985 0.484 0.895
H 0.995 0.520 0.491
H 0.995 0.480 0.009
Bi 0.515 0.016 0.431
Cd 0.516 0.015 0.355
H 0.005 0.480 0.991
Bi 0.016 0.515 0.319
Bi 0.984 0.515 0.681
Bi 0.984 0.485 0.819
Cd 0.015 0.516 0.395
H 0.005 0.520 0.509
H 0.520 0.995 0.259
Cd 0.516 0.985 0.145
Cd 0.015 0.484 0.105
Cd 0.484 0.015 0.645
Bi 0.485 0.016 0.569
Cd 0.985 0.516 0.605
Cd 0.484 0.985 0.855

Summary:
Its symmetry is P4_122. Its offset from the most stable computed form is 0 meV per atom. The value obtained for the density of states at the Fermi level is 0.19 states/eV per atom.

11.
Material: Rb3NdBi2Se6
Method: DFT, PBE
State: optimized geometry

Cell: 7.565 7.565 8.411 Å, 98.61 98.61 120.00°
Fractional coordinates of all 12 atoms:
Rb 0.832 0.168 0.500
Se 0.599 0.933 0.798
Nd 0.000 0.000 0.000
Se 0.733 0.733 0.202
Rb 0.500 0.500 0.500
Se 0.401 0.067 0.202
Se 0.267 0.267 0.798
Rb 0.168 0.832 0.500
Se 0.067 0.401 0.202
Se 0.933 0.599 0.798
Bi 0.333 0.667 0.000
Bi 0.667 0.333 0.000

Summary:
Its symmetry is C2/m. The value obtained for the density of states at the Fermi level is 0.00 states/eV per atom. As for the raw formation energy: -106.4 kJ/mol of atoms.

12.
Material: Dy2Er3Pd2
Method: DFT, PBE
State: optimized geometry

Cell: 3.688 6.429 9.026 Å, 115.74 90.00 106.67°
Fractional coordinates of all 7 atoms:
Er 0.500 0.000 0.000
Er 0.613 0.227 0.440
Dy 0.843 0.687 0.187
Er 0.387 0.773 0.560
Pd 0.830 0.660 0.763
Pd 0.170 0.340 0.237
Dy 0.157 0.313 0.813

Summary:
Its symmetry is C2/m. Its offset from the most stable computed form is 0 meV per atom. For the formation energy from the elements, the calculation gives -3.78 eV/f.u. The value obtained for the density of states at the Fermi level is 1.19 states/eV per atom.